Entry 1:
The following is a DFT calculation (PBE-GGA) of a geometry-optimized AcLa2Tb4 structure.

```
14
Lattice="4.655 0.000 0.000 0.000 4.655 0.000 0.000 0.000 23.670" Properties=species:S:1:pos:R:3 pbc="T T T"
Ac 0.000 0.000 0.000
Ac 2.327 2.327 11.835
La 0.000 0.000 9.320
La 0.000 0.000 14.350
La 2.327 2.327 2.515
La 2.327 2.327 21.155
Tb 0.000 0.000 3.407
Tb 0.000 0.000 20.263
Tb 0.000 2.327 5.917
Tb 0.000 2.327 17.752
Tb 2.327 0.000 5.917
Tb 2.327 0.000 17.752
Tb 2.327 2.327 8.428
Tb 2.327 2.327 15.242
```

**Spin magnetization**: 0.0 Bohr magnetons per cell
**Polymorph energy (0 for the lowest one)**: 27.3 meV per atom
**Formation energy**: 1.492 eV/f.u.


Entry 2:
The following is a DFT calculation (PBE-GGA) of a geometry-optimized Sc2CrW2 structure.

```
10
Lattice="3.827 0.000 0.000 0.000 3.827 0.000 0.000 0.000 13.311" Properties=species:S:1:pos:R:3 pbc="T T T"
Sc 0.000 1.914 3.328
Sc 0.000 1.914 9.983
Sc 1.914 0.000 3.328
Sc 1.914 0.000 9.983
Cr 0.000 0.000 0.000
Cr 1.914 1.914 6.655
W 0.000 0.000 5.495
W 0.000 0.000 7.815
W 1.914 1.914 1.160
W 1.914 1.914 12.150
```

**Spin magnetization**: 4.9 Bohr magnetons per cell
**Polymorph energy (0 for the lowest one)**: 784.5 meV per atom
**Formation energy**: 5.666 eV/f.u.


Entry 3:
The following is a DFT calculation (PBE-GGA) of a geometry-optimized LiSmO2 structure.

```
16
Lattice="5.738 0.000 0.000 0.000 6.043 0.000 -1.268 0.000 5.586" Properties=species:S:1:pos:R:3 pbc="T T T"
Li 0.723 0.834 0.988
Li 0.089 2.188 3.781
Li 4.382 3.856 1.805
Li 3.748 5.210 4.598
Sm 1.462 3.451 1.091
Sm 0.828 5.614 3.884
Sm 3.643 0.429 1.702
Sm 3.009 2.592 4.495
O -0.600 3.838 4.456
O 0.034 5.227 1.663
O 1.142 1.443 5.492
O 1.776 1.579 2.699
O 2.695 4.465 2.887
O 3.329 4.601 0.094
O 4.437 0.816 3.923
O 5.071 2.206 1.130
```

**Spin magnetization**: 0.0 Bohr magnetons per cell
**Formation energy (no corrections)**: -2.827 eV per atom


Entry 4:
The following is a DFT calculation (PBE-GGA) of a geometry-optimized Dy2HoTm4 structure.

```
7
Lattice="1.779 1.027 19.548 -1.779 1.027 19.548 0.000 -2.054 19.548" Properties=species:S:1:pos:R:3 pbc="T T T"
Dy 0.000 0.000 0.000
Dy 0.000 0.000 5.615
Ho 0.000 0.000 11.218
Tm 0.000 0.000 16.752
Tm 0.000 0.000 22.353
Tm 0.000 0.000 47.524
Tm 0.000 0.000 53.098
```

**Spin magnetization**: 0.0 Bohr magnetons per cell
**Polymorph energy (0 for the lowest one)**: 0.0 meV per atom
**Formation energy**: 0.007 eV/f.u.


Entry 5:
The following is a DFT calculation (PBE-GGA) of a geometry-optimized NaHN structure.

```
3
Lattice="3.462 0.000 0.000 0.000 2.686 0.000 -1.020 0.000 3.322" Properties=species:S:1:pos:R:3 pbc="T T T"
Na 0.000 0.000 0.000
H 1.447 1.343 1.504
N 0.602 1.343 2.112
```

**Spin magnetization**: 0.2 Bohr magnetons per cell
**Polymorph energy (0 for the lowest one)**: 351.4 meV per atom


Entry 6:
The following is a DFT calculation (PBE-GGA) of a geometry-optimized YTcRu2N structure.

```
5
Lattice="4.527 0.000 0.000 0.000 4.527 0.000 0.000 0.000 5.584" Properties=species:S:1:pos:R:3 pbc="T T T"
Y 0.000 0.000 0.000
Tc 0.000 0.000 2.792
Ru 0.000 2.264 2.792
Ru 2.264 0.000 2.792
N 2.264 2.264 0.000
```

**Spin magnetization**: 2.9 Bohr magnetons per cell
**Polymorph energy (0 for the lowest one)**: 1737.5 meV per atom
**Formation energy (no corrections)**: 1.823 eV per atom